No. 1
This record from Alexandria describes a relaxed Mo3CS crystal. The functional is PBE.

Raw formation energy ... 51.5 kJ/mol of atoms

```
data_Mo3CS
_cell_length_a 4.161
_cell_length_b 4.161
_cell_length_c 4.161
_cell_angle_alpha 90.00
_cell_angle_beta 90.00
_cell_angle_gamma 90.00
_symmetry_space_group_name_H-M 'P 1'
_symmetry_Int_Tables_number 1
_symmetry_space_group_name_Hall 'P 1'
loop_
_atom_site_label
_atom_site_type_symbol
_atom_site_fract_x
_atom_site_fract_y
_atom_site_fract_z
Mo1 Mo 0.000 0.000 0.500
Mo2 Mo 0.000 0.500 0.000
Mo3 Mo 0.500 0.000 0.000
C1 C 0.000 0.000 0.000
S1 S 0.500 0.500 0.500
```

No. 2
This record from Alexandria describes a relaxed Ti4VH8 crystal. The functional is PBE.

```
data_Ti4VH8
_cell_length_a 4.712
_cell_length_b 4.712
_cell_length_c 4.712
_cell_angle_alpha 90.00
_cell_angle_beta 90.00
_cell_angle_gamma 90.00
_symmetry_space_group_name_H-M 'P 1'
_symmetry_Int_Tables_number 1
_symmetry_space_group_name_Hall 'P 1'
loop_
_atom_site_label
_atom_site_type_symbol
_atom_site_fract_x
_atom_site_fract_y
_atom_site_fract_z
Ti1 Ti 0.000 0.000 0.000
Ti2 Ti 0.000 0.500 0.500
Ti3 Ti 0.500 0.000 0.500
Ti4 Ti 0.500 0.500 0.000
V1 V 0.500 0.500 0.500
H1 H 0.248 0.248 0.248
H2 H 0.248 0.248 0.752
H3 H 0.248 0.752 0.248
H4 H 0.248 0.752 0.752
H5 H 0.752 0.248 0.248
H6 H 0.752 0.248 0.752
H7 H 0.752 0.752 0.248
H8 H 0.752 0.752 0.752
```

No. 3
This record from Alexandria describes a relaxed YTmHgC crystal. The functional is PBE.

Formation energy from the elements ... -0.399 eV per atom

```
data_YTmHgC
_cell_length_a 3.587
_cell_length_b 3.587
_cell_length_c 23.357
_cell_angle_alpha 90.00
_cell_angle_beta 90.00
_cell_angle_gamma 120.00
_symmetry_space_group_name_H-M 'P 1'
_symmetry_Int_Tables_number 1
_symmetry_space_group_name_Hall 'P 1'
loop_
_atom_site_label
_atom_site_type_symbol
_atom_site_fract_x
_atom_site_fract_y
_atom_site_fract_z
Y1 Y 0.000 0.000 0.000
Y2 Y 0.333 0.667 0.667
Y3 Y 0.667 0.333 0.333
Tm1 Tm 0.000 0.000 0.219
Tm2 Tm 0.333 0.667 0.885
Tm3 Tm 0.667 0.333 0.552
Hg1 Hg 0.000 0.000 0.779
Hg2 Hg 0.333 0.667 0.445
Hg3 Hg 0.667 0.333 0.112
C1 C 0.000 0.000 0.609
C2 C 0.333 0.667 0.275
C3 C 0.667 0.333 0.942
```

No. 4
This record from Alexandria describes a relaxed Tl2GeO3 crystal. The functional is PBE.

Raw formation energy ... -108.7 kJ/mol of atoms

```
data_Tl2GeO3
_cell_length_a 7.175
_cell_length_b 7.175
_cell_length_c 5.417
_cell_angle_alpha 96.62
_cell_angle_beta 96.62
_cell_angle_gamma 53.19
_symmetry_space_group_name_H-M 'P 1'
_symmetry_Int_Tables_number 1
_symmetry_space_group_name_Hall 'P 1'
loop_
_atom_site_label
_atom_site_type_symbol
_atom_site_fract_x
_atom_site_fract_y
_atom_site_fract_z
Tl1 Tl 0.001 0.698 0.790
Tl2 Tl 0.302 0.999 0.710
Tl3 Tl 0.698 0.001 0.290
Tl4 Tl 0.999 0.302 0.210
Ge1 Ge 0.409 0.591 0.250
Ge2 Ge 0.591 0.409 0.750
O1 O 0.135 0.865 0.250
O2 O 0.358 0.456 0.522
O3 O 0.456 0.358 0.022
O4 O 0.544 0.642 0.978
O5 O 0.642 0.544 0.478
O6 O 0.865 0.135 0.750
```

No. 5
This record from Alexandria describes a relaxed Li6MgRh2 crystal. The functional is PBE.

Formation energy from the elements ... -0.059 eV per atom

```
data_Li6MgRh2
_cell_length_a 7.677
_cell_length_b 7.677
_cell_length_c 2.642
_cell_angle_alpha 90.00
_cell_angle_beta 90.00
_cell_angle_gamma 120.00
_symmetry_space_group_name_H-M 'P 1'
_symmetry_Int_Tables_number 1
_symmetry_space_group_name_Hall 'P 1'
loop_
_atom_site_label
_atom_site_type_symbol
_atom_site_fract_x
_atom_site_fract_y
_atom_site_fract_z
Li1 Li 0.000 0.350 0.000
Li2 Li 0.000 0.650 0.000
Li3 Li 0.350 0.000 0.000
Li4 Li 0.350 0.350 0.000
Li5 Li 0.650 0.000 0.000
Li6 Li 0.650 0.650 0.000
Mg1 Mg 0.000 0.000 0.500
Rh1 Rh 0.333 0.667 0.500
Rh2 Rh 0.667 0.333 0.500
```

No. 6
This record from Alexandria describes a relaxed CaNdInPb crystal. The functional is PBE.

Formation energy from the elements ... -0.497 eV per atom

```
data_CaNdInPb
_cell_length_a 4.529
_cell_length_b 5.097
_cell_length_c 5.111
_cell_angle_alpha 90.00
_cell_angle_beta 90.00
_cell_angle_gamma 90.00
_symmetry_space_group_name_H-M 'P 1'
_symmetry_Int_Tables_number 1
_symmetry_space_group_name_Hall 'P 1'
loop_
_atom_site_label
_atom_site_type_symbol
_atom_site_fract_x
_atom_site_fract_y
_atom_site_fract_z
Ca1 Ca 0.000 0.000 0.000
Nd1 Nd 0.000 0.500 0.500
In1 In 0.500 0.500 0.000
Pb1 Pb 0.500 0.000 0.500
```

No. 7
This record from Alexandria describes a relaxed CoN crystal. The functional is PBE.

Raw formation energy ... 18.0 kJ/mol of atoms

```
data_CoN
_cell_length_a 7.149
_cell_length_b 7.149
_cell_length_c 3.012
_cell_angle_alpha 90.00
_cell_angle_beta 90.00
_cell_angle_gamma 120.00
_symmetry_space_group_name_H-M 'P 1'
_symmetry_Int_Tables_number 1
_symmetry_space_group_name_Hall 'P 1'
loop_
_atom_site_label
_atom_site_type_symbol
_atom_site_fract_x
_atom_site_fract_y
_atom_site_fract_z
Co1 Co 0.096 0.655 0.250
Co2 Co 0.345 0.441 0.250
Co3 Co 0.441 0.096 0.750
Co4 Co 0.559 0.904 0.250
Co5 Co 0.655 0.559 0.750
Co6 Co 0.904 0.345 0.750
N1 N 0.068 0.377 0.250
N2 N 0.309 0.932 0.250
N3 N 0.377 0.309 0.750
N4 N 0.623 0.691 0.250
N5 N 0.691 0.068 0.750
N6 N 0.932 0.623 0.750
```

No. 8
This record from Alexandria describes a relaxed Th6GaC5 crystal. The functional is PBE.

Formation energy from the elements ... -0.049 eV per atom

```
data_Th6GaC5
_cell_length_a 6.612
_cell_length_b 6.612
_cell_length_c 12.976
_cell_angle_alpha 90.00
_cell_angle_beta 90.00
_cell_angle_gamma 120.00
_symmetry_space_group_name_H-M 'P 1'
_symmetry_Int_Tables_number 1
_symmetry_space_group_name_Hall 'P 1'
loop_
_atom_site_label
_atom_site_type_symbol
_atom_site_fract_x
_atom_site_fract_y
_atom_site_fract_z
Th1 Th 0.000 0.373 0.119
Th2 Th 0.000 0.373 0.381
Th3 Th 0.000 0.627 0.619
Th4 Th 0.000 0.627 0.881
Th5 Th 0.373 0.000 0.119
Th6 Th 0.373 0.000 0.381
Th7 Th 0.373 0.373 0.619
Th8 Th 0.373 0.373 0.881
Th9 Th 0.627 0.000 0.619
Th10 Th 0.627 0.000 0.881
Th11 Th 0.627 0.627 0.119
Th12 Th 0.627 0.627 0.381
Ga1 Ga 0.000 0.000 0.250
Ga2 Ga 0.000 0.000 0.750
C1 C 0.000 0.313 0.750
C2 C 0.000 0.687 0.250
C3 C 0.313 0.000 0.750
C4 C 0.313 0.313 0.250
C5 C 0.333 0.667 0.000
C6 C 0.333 0.667 0.500
C7 C 0.667 0.333 0.000
C8 C 0.667 0.333 0.500
C9 C 0.687 0.000 0.250
C10 C 0.687 0.687 0.750
```

No. 9
This record from Alexandria describes a relaxed RbPb2 crystal. The functional is PBE.

Formation energy from the elements ... -0.130 eV per atom

```
data_RbPb2
_cell_length_a 5.542
_cell_length_b 8.791
_cell_length_c 9.645
_cell_angle_alpha 90.00
_cell_angle_beta 90.00
_cell_angle_gamma 90.00
_symmetry_space_group_name_H-M 'P 1'
_symmetry_Int_Tables_number 1
_symmetry_space_group_name_Hall 'P 1'
loop_
_atom_site_label
_atom_site_type_symbol
_atom_site_fract_x
_atom_site_fract_y
_atom_site_fract_z
Rb1 Rb 0.000 0.250 0.066
Rb2 Rb 0.000 0.750 0.934
Rb3 Rb 0.500 0.250 0.434
Rb4 Rb 0.500 0.750 0.566
Pb1 Pb 0.000 0.070 0.659
Pb2 Pb 0.000 0.430 0.659
Pb3 Pb 0.000 0.570 0.341
Pb4 Pb 0.000 0.930 0.341
Pb5 Pb 0.500 0.070 0.841
Pb6 Pb 0.500 0.430 0.841
Pb7 Pb 0.500 0.570 0.159
Pb8 Pb 0.500 0.930 0.159
```

No. 10
This record from Alexandria describes a relaxed PRuRh2 crystal. The functional is PBE.

Formation energy from the elements ... -0.262 eV per atom

```
data_PRuRh2
_cell_length_a 9.741
_cell_length_b 2.857
_cell_length_c 4.422
_cell_angle_alpha 90.00
_cell_angle_beta 116.42
_cell_angle_gamma 90.00
_symmetry_space_group_name_H-M 'P 1'
_symmetry_Int_Tables_number 1
_symmetry_space_group_name_Hall 'P 1'
loop_
_atom_site_label
_atom_site_type_symbol
_atom_site_fract_x
_atom_site_fract_y
_atom_site_fract_z
P1 P 0.000 0.000 0.000
P2 P 0.500 0.500 0.000
Ru1 Ru 0.203 0.500 0.290
Ru2 Ru 0.703 0.000 0.290
Rh1 Rh 0.293 0.000 0.879
Rh2 Rh 0.496 0.000 0.571
Rh3 Rh 0.793 0.500 0.879
Rh4 Rh 0.996 0.500 0.571
```

No. 11
This record from Alexandria describes a relaxed Ca2ScH crystal. The functional is PBE.

```
data_Ca2ScH
_cell_length_a 7.770
_cell_length_b 7.770
_cell_length_c 7.770
_cell_angle_alpha 90.00
_cell_angle_beta 90.00
_cell_angle_gamma 90.00
_symmetry_space_group_name_H-M 'P 1'
_symmetry_Int_Tables_number 1
_symmetry_space_group_name_Hall 'P 1'
loop_
_atom_site_label
_atom_site_type_symbol
_atom_site_fract_x
_atom_site_fract_y
_atom_site_fract_z
Ca1 Ca 0.250 0.250 0.250
Ca2 Ca 0.250 0.250 0.750
Ca3 Ca 0.250 0.750 0.250
Ca4 Ca 0.250 0.750 0.750
Ca5 Ca 0.750 0.250 0.250
Ca6 Ca 0.750 0.250 0.750
Ca7 Ca 0.750 0.750 0.250
Ca8 Ca 0.750 0.750 0.750
Sc1 Sc 0.000 0.000 0.000
Sc2 Sc 0.000 0.500 0.500
Sc3 Sc 0.500 0.000 0.500
Sc4 Sc 0.500 0.500 0.000
H1 H 0.000 0.000 0.500
H2 H 0.000 0.500 0.000
H3 H 0.500 0.000 0.000
H4 H 0.500 0.500 0.500
```

No. 12
This record from Alexandria describes a relaxed SiW2S crystal. The functional is PBE.

Raw formation energy ... 20.4 kJ/mol of atoms

```
data_SiW2S
_cell_length_a 6.087
_cell_length_b 6.087
_cell_length_c 6.087
_cell_angle_alpha 90.00
_cell_angle_beta 90.00
_cell_angle_gamma 90.00
_symmetry_space_group_name_H-M 'P 1'
_symmetry_Int_Tables_number 1
_symmetry_space_group_name_Hall 'P 1'
loop_
_atom_site_label
_atom_site_type_symbol
_atom_site_fract_x
_atom_site_fract_y
_atom_site_fract_z
Si1 Si 0.000 0.000 0.000
Si2 Si 0.000 0.500 0.500
Si3 Si 0.500 0.000 0.500
Si4 Si 0.500 0.500 0.000
W1 W 0.250 0.250 0.250
W2 W 0.250 0.250 0.750
W3 W 0.250 0.750 0.250
W4 W 0.250 0.750 0.750
W5 W 0.750 0.250 0.250
W6 W 0.750 0.250 0.750
W7 W 0.750 0.750 0.250
W8 W 0.750 0.750 0.750
S1 S 0.000 0.000 0.500
S2 S 0.000 0.500 0.000
S3 S 0.500 0.000 0.000
S4 S 0.500 0.500 0.500
```

| no. | calculated total energy (eV/atom) |
| --- | --- |
| 1 | -8.6356 |
| 2 | -5.3193 |
| 3 | -5.5147 |
| 4 | -5.1644 |
| 5 | -3.1457 |
| 6 | -3.8014 |
| 7 | -7.5293 |
| 8 | -7.8539 |
| 9 | -2.9243 |
| 10 | -7.6094 |
| 11 | -2.6869 |
| 12 | -8.6524 |